(1)
First-principles (GGA-PBE) data for Ge2Rh2N after structural relaxation, as listed in the Alexandria database.

## Properties
polymorph energy (0 for the lowest one)	0.221	eV per atom
E_form (uncorrected)	0.74	eV/atom

a b c (Å): 4.114 4.114 10.106
angles (deg): 90.00 90.00 90.00
Space group I4/mmm (No. 139)
Symmetry-distinct sites (fractional):
Ge 0.000 0.000 0.122
Rh 0.000 0.500 0.250
N 0.000 0.000 0.500

***

(2)
First-principles (GGA-PBE) data for Ge3RhN after structural relaxation, as listed in the Alexandria database.

## Properties
polymorph energy (0 for the lowest one)	0.492	eV per atom
E_form (uncorrected)	1.06	eV/atom

a b c (Å): 4.684 4.684 4.684
angles (deg): 90.00 90.00 90.00
Space group Pm-3m (No. 221)
Symmetry-distinct sites (fractional):
Ge 0.000 0.000 0.500
Rh 0.000 0.000 0.000
N 0.500 0.500 0.500

***

(3)
First-principles (GGA-PBE) data for GeRhN3 after structural relaxation, as listed in the Alexandria database.

## Properties
E_form (uncorrected)	1.58	eV/atom

a b c (Å): 3.892 3.892 3.892
angles (deg): 90.00 90.00 90.00
Space group Pm-3m (No. 221)
Symmetry-distinct sites (fractional):
Ge 0.000 0.000 0.000
Rh 0.500 0.500 0.500
N 0.000 0.500 0.500

***

(4)
First-principles (GGA-PBE) data for Ge2Rh2N after structural relaxation, as listed in the Alexandria database.

## Properties
polymorph energy (0 for the lowest one)	0.000	eV per atom
E_form (uncorrected)	0.52	eV/atom

a b c (Å): 6.009 6.009 3.844
angles (deg): 90.00 90.00 90.00
Space group P4/mbm (No. 127)
Symmetry-distinct sites (fractional):
Ge 0.161 0.339 0.000
Rh 0.158 0.658 0.500
N 0.000 0.000 0.000

***

(5)
First-principles (GGA-PBE) data for GeRh2SN after structural relaxation, as listed in the Alexandria database.

## Properties
E_form (uncorrected)	0.76	eV/atom

a b c (Å): 4.623 4.623 3.368
angles (deg): 90.00 90.00 90.00
Space group P4/mmm (No. 123)
Symmetry-distinct sites (fractional):
Ge 0.000 0.000 0.000
Rh 0.000 0.500 0.500
S 0.500 0.500 0.500
N 0.500 0.500 0.000

***

(6)
First-principles (GGA-PBE) data for GeRhSe2N after structural relaxation, as listed in the Alexandria database.

## Properties
polymorph energy (0 for the lowest one)	0.000	eV per atom
E_form (uncorrected)	0.41	eV/atom

a b c (Å): 5.171 5.171 3.649
angles (deg): 90.00 90.00 90.00
Space group P4/mmm (No. 123)
Symmetry-distinct sites (fractional):
Ge 0.000 0.000 0.000
Rh 0.500 0.500 0.500
Se 0.000 0.500 0.500
N 0.500 0.500 0.000

***

(7)
First-principles (GGA-PBE) data for GeRhSeN2 after structural relaxation, as listed in the Alexandria database.

## Properties
polymorph energy (0 for the lowest one)	0.000	eV per atom
E_form (uncorrected)	1.01	eV/atom

a b c (Å): 3.868 3.868 5.345
angles (deg): 90.00 90.00 90.00
Space group P4/mmm (No. 123)
Symmetry-distinct sites (fractional):
Ge 0.000 0.000 0.000
Rh 0.500 0.500 0.500
Se 0.500 0.500 0.000
N 0.000 0.500 0.500

***

(8)
First-principles (GGA-PBE) data for GeRhSeN2 after structural relaxation, as listed in the Alexandria database.

## Properties
polymorph energy (0 for the lowest one)	0.263	eV per atom
E_form (uncorrected)	1.28	eV/atom

a b c (Å): 3.596 3.596 7.110
angles (deg): 90.00 90.00 90.00
Space group P4/mmm (No. 123)
Symmetry-distinct sites (fractional):
Ge 0.000 0.000 0.000
Rh 0.500 0.500 0.500
Se 0.000 0.000 0.500
N 0.000 0.500 0.000

***

(9)
First-principles (GGA-PBE) data for GeRhSe2N after structural relaxation, as listed in the Alexandria database.

## Properties
polymorph energy (0 for the lowest one)	0.512	eV per atom
E_form (uncorrected)	0.92	eV/atom

a b c (Å): 5.115 5.115 3.429
angles (deg): 90.00 90.00 90.00
Space group P4/mmm (No. 123)
Symmetry-distinct sites (fractional):
Ge 0.000 0.000 0.000
Rh 0.500 0.500 0.500
Se 0.000 0.500 0.000
N 0.000 0.000 0.500

***

(10)
First-principles (GGA-PBE) data for SmGeRhN after structural relaxation, as listed in the Alexandria database.

## Properties
E_form (uncorrected)	-0.90	eV/atom

a b c (Å): 3.973 3.973 8.536
angles (deg): 90.00 90.00 90.00
Space group P4/nmm (No. 129, origin choice 2)
Symmetry-distinct sites (fractional):
Sm 0.250 0.250 0.151
Ge 0.250 0.250 0.662
Rh 0.250 0.750 0.500
N 0.250 0.250 0.884

***

(11)
First-principles (GGA-PBE) data for GeTeRhN2 after structural relaxation, as listed in the Alexandria database.

## Properties
polymorph energy (0 for the lowest one)	0.000	eV per atom
E_form (uncorrected)	1.14	eV/atom

a b c (Å): 3.935 3.935 5.652
angles (deg): 90.00 90.00 90.00
Space group P4/mmm (No. 123)
Symmetry-distinct sites (fractional):
Ge 0.000 0.000 0.000
Te 0.500 0.500 0.000
Rh 0.500 0.500 0.500
N 0.000 0.500 0.500

***

(12)
First-principles (GGA-PBE) data for GeTeRhN2 after structural relaxation, as listed in the Alexandria database.

## Properties
polymorph energy (0 for the lowest one)	0.133	eV per atom
E_form (uncorrected)	1.27	eV/atom

a b c (Å): 3.668 3.668 8.014
angles (deg): 90.00 90.00 90.00
Space group P4/mmm (No. 123)
Symmetry-distinct sites (fractional):
Ge 0.000 0.000 0.000
Te 0.000 0.000 0.500
Rh 0.500 0.500 0.500
N 0.000 0.500 0.000

***

(13)
First-principles (GGA-PBE) data for ThGeRhN after structural relaxation, as listed in the Alexandria database.

## Properties
E_form (uncorrected)	-1.21	eV/atom

a b c (Å): 4.152 4.152 8.468
angles (deg): 90.00 90.00 90.00
Space group P4/nmm (No. 129, origin choice 2)
Symmetry-distinct sites (fractional):
Th 0.250 0.250 0.132
Ge 0.250 0.250 0.656
Rh 0.250 0.750 0.500
N 0.250 0.750 0.000

***

(14)
First-principles (GGA-PBE) data for UGeRhN after structural relaxation, as listed in the Alexandria database.

## Properties
E_form (uncorrected)	-0.97	eV/atom

a b c (Å): 4.011 4.011 7.950
angles (deg): 90.00 90.00 90.00
Space group P4/nmm (No. 129, origin choice 2)
Symmetry-distinct sites (fractional):
U 0.250 0.250 0.135
Ge 0.250 0.250 0.676
Rh 0.250 0.750 0.500
N 0.250 0.750 0.000

***

(15)
First-principles (GGA-PBE) data for ZrGe2RhN after structural relaxation, as listed in the Alexandria database.

## Properties
E_form (uncorrected)	1.75	eV/atom

a b c (Å): 5.288 5.288 4.819
angles (deg): 90.00 90.00 90.00
Space group P4/mmm (No. 123)
Symmetry-distinct sites (fractional):
Zr 0.000 0.000 0.000
Ge 0.000 0.500 0.000
Rh 0.000 0.000 0.500
N 0.500 0.500 0.500

***

(16)
First-principles (GGA-PBE) data for Ge2RuN after structural relaxation, as listed in the Alexandria database.

## Properties
E_form (uncorrected)	0.30	eV/atom

a b c (Å): 5.584 5.584 7.601
angles (deg): 90.00 90.00 90.00
Space group I-42d (No. 122)
Symmetry-distinct sites (fractional):
Ge 0.188 0.250 0.125
Ru 0.000 0.000 0.500
N 0.000 0.000 0.000

***

(17)
First-principles (GGA-PBE) data for GeRuSeN2 after structural relaxation, as listed in the Alexandria database.

## Properties
polymorph energy (0 for the lowest one)	0.000	eV per atom
E_form (uncorrected)	0.76	eV/atom

a b c (Å): 3.853 3.853 5.450
angles (deg): 90.00 90.00 90.00
Space group P4/mmm (No. 123)
Symmetry-distinct sites (fractional):
Ge 0.000 0.000 0.000
Ru 0.500 0.500 0.500
Se 0.500 0.500 0.000
N 0.000 0.500 0.500

***

(18)
First-principles (GGA-PBE) data for GeRuSeN2 after structural relaxation, as listed in the Alexandria database.

## Properties
polymorph energy (0 for the lowest one)	0.709	eV per atom
E_form (uncorrected)	1.47	eV/atom

a b c (Å): 3.599 3.599 6.087
angles (deg): 90.00 90.00 90.00
Space group P4/mmm (No. 123)
Symmetry-distinct sites (fractional):
Ge 0.000 0.000 0.000
Ru 0.500 0.500 0.500
Se 0.000 0.000 0.500
N 0.000 0.500 0.000

***

(19)
First-principles (GGA-PBE) data for GeRuSe2N after structural relaxation, as listed in the Alexandria database.

## Properties
polymorph energy (0 for the lowest one)	0.000	eV per atom
E_form (uncorrected)	0.36	eV/atom

a b c (Å): 5.119 5.119 3.656
angles (deg): 90.00 90.00 90.00
Space group P4/mmm (No. 123)
Symmetry-distinct sites (fractional):
Ge 0.000 0.000 0.000
Ru 0.500 0.500 0.500
Se 0.000 0.500 0.500
N 0.500 0.500 0.000

***

(20)
First-principles (GGA-PBE) data for GeRuSe2N after structural relaxation, as listed in the Alexandria database.

## Properties
polymorph energy (0 for the lowest one)	0.758	eV per atom
E_form (uncorrected)	1.12	eV/atom

a b c (Å): 5.086 5.086 3.454
angles (deg): 90.00 90.00 90.00
Space group P4/mmm (No. 123)
Symmetry-distinct sites (fractional):
Ge 0.000 0.000 0.000
Ru 0.500 0.500 0.500
Se 0.000 0.500 0.000
N 0.000 0.000 0.500

***

(21)
First-principles (GGA-PBE) data for SmGeRu2N after structural relaxation, as listed in the Alexandria database.

## Properties
E_form (uncorrected)	-0.63	eV/atom

a b c (Å): 3.859 11.337 7.308
angles (deg): 90.00 90.00 90.00
Space group Cmcm (No. 63)
Symmetry-distinct sites (fractional):
Sm 0.000 0.047 0.250
Ge 0.000 0.231 0.750
Ru 0.000 0.339 0.053
N 0.000 0.500 0.000

***

(22)
First-principles (GGA-PBE) data for SrGeRu2N after structural relaxation, as listed in the Alexandria database.

## Properties
E_form (uncorrected)	-0.43	eV/atom

a b c (Å): 4.000 11.283 7.375
angles (deg): 90.00 90.00 90.00
Space group Cmcm (No. 63)
Symmetry-distinct sites (fractional):
Sr 0.000 0.047 0.250
Ge 0.000 0.230 0.750
Ru 0.000 0.339 0.056
N 0.000 0.500 0.000

***

(23)
First-principles (GGA-PBE) data for Sr2Ge2Ru2N after structural relaxation, as listed in the Alexandria database.

## Properties
E_form (uncorrected)	-0.56	eV/atom

a b c (Å): 11.579 4.170 7.382
angles (deg): 90.00 126.56 90.00
Space group C2/m (No. 12)
Symmetry-distinct sites (fractional):
Sr 0.058 0.000 0.299
Ge 0.179 0.500 0.733
Ru 0.186 0.500 0.077
N 0.000 0.500 0.000

***

(24)
First-principles (GGA-PBE) data for TcGe2RuN after structural relaxation, as listed in the Alexandria database.

## Properties
E_form (uncorrected)	1.79	eV/atom

a b c (Å): 4.803 4.803 4.717
angles (deg): 90.00 90.00 90.00
Space group P4/mmm (No. 123)
Symmetry-distinct sites (fractional):
Tc 0.000 0.000 0.000
Ge 0.000 0.500 0.000
Ru 0.000 0.000 0.500
N 0.500 0.500 0.500

***

(25)
First-principles (GGA-PBE) data for GeTeRuN2 after structural relaxation, as listed in the Alexandria database.

## Properties
polymorph energy (0 for the lowest one)	0.000	eV per atom
E_form (uncorrected)	0.90	eV/atom

a b c (Å): 3.914 3.914 5.616
angles (deg): 90.00 90.00 90.00
Space group P4/mmm (No. 123)
Symmetry-distinct sites (fractional):
Ge 0.000 0.000 0.000
Te 0.500 0.500 0.000
Ru 0.500 0.500 0.500
N 0.000 0.500 0.500

***

(26)
First-principles (GGA-PBE) data for GeTe2RuN after structural relaxation, as listed in the Alexandria database.

## Properties
polymorph energy (0 for the lowest one)	0.000	eV per atom
E_form (uncorrected)	0.35	eV/atom

a b c (Å): 5.528 5.528 3.662
angles (deg): 90.00 90.00 90.00
Space group P4/mmm (No. 123)
Symmetry-distinct sites (fractional):
Ge 0.000 0.000 0.000
Te 0.000 0.500 0.500
Ru 0.500 0.500 0.500
N 0.500 0.500 0.000

***

(27)
First-principles (GGA-PBE) data for GeTeRuN2 after structural relaxation, as listed in the Alexandria database.

## Properties
polymorph energy (0 for the lowest one)	0.593	eV per atom
E_form (uncorrected)	1.50	eV/atom

a b c (Å): 3.686 3.686 7.250
angles (deg): 90.00 90.00 90.00
Space group P4/mmm (No. 123)
Symmetry-distinct sites (fractional):
Ge 0.000 0.000 0.000
Te 0.000 0.000 0.500
Ru 0.500 0.500 0.500
N 0.000 0.500 0.000